Entry from Alexandria: a geometry-optimized CoNO2 structure (PBE with a Hubbard U).

The structure in CIF format:
```
data_CoNO2
_cell_length_a 4.133
_cell_length_b 4.133
_cell_length_c 10.051
_cell_angle_alpha 90.00
_cell_angle_beta 90.00
_cell_angle_gamma 90.00
_symmetry_space_group_name_H-M 'I -4 2 d'
_symmetry_Int_Tables_number 122
_symmetry_space_group_name_Hall 'I -4 2bw'
loop_
_atom_site_label
_atom_site_type_symbol
_atom_site_fract_x
_atom_site_fract_y
_atom_site_fract_z
Co1 Co 0.000 0.000 0.000
N1 N 0.000 0.000 0.500
O1 O 0.219 0.250 0.625
```

## Properties
Spin magnetization, μB per formula unit: 2.866
Total energy, eV/atom: -5.07